This record from Alexandria via LeMat-Bulk describes crystalline CeNd3Se6 at its relaxed geometry. The functional is PBE.

```
data_CeNd3Se6
_chemical_formula_sum 'Ce2 Nd6 Se12'
_cell_length_a 11.886
_cell_length_b 4.253
_cell_length_c 12.203
_cell_angle_alpha 90.00
_cell_angle_beta 108.59
_cell_angle_gamma 90.00
_space_group_name_H-M_alt 'P 1 21/m 1'
_space_group_IT_number 11
loop_
_space_group_symop_operation_xyz
'x,y,z'
'-x,-y,-z'
'-x,y+1/2,-z'
'x,-y+1/2,z'
loop_
_atom_site_label
_atom_site_type_symbol
_atom_site_fract_x
_atom_site_fract_y
_atom_site_fract_z
Ce1 Ce 0.044 0.250 0.190
Nd1 Nd 0.159 0.250 0.583
Nd2 Nd 0.318 0.750 0.998
Nd3 Nd 0.431 0.250 0.332
Se1 Se 0.084 0.750 0.400
Se2 Se 0.112 0.250 0.963
Se3 Se 0.189 0.750 0.750
Se4 Se 0.252 0.750 0.223
Se5 Se 0.398 0.250 0.564
Se6 Se 0.481 0.250 0.115
```

Raw total energy in eV for the cell shown: -119.34
Polymorph energy (0 for the lowest one) in meV per atom: 0
Total moment in μB/cell: 1.956
Raw formation energy in eV per atom: -1.85